CsMg2H6: optimized geometry, PBE.

E: -23.65 eV/cell
Calculated volume: 16.21 A^3/atom
D(E_F): 0.066 states/eV per atom
Crystal system: monoclinic
Symmetry: C2/m
Spin magnetization: 1.00 μB per formula unit

```
data_CsMg2H6
_space_group_name_H-M_alt 'P 1'
_space_group_IT_number 1
_cell_length_a 5.1912
_cell_length_b 5.1912
_cell_length_c 8.1182
_cell_angle_alpha 107.78
_cell_angle_beta 107.78
_cell_angle_gamma 44.94
loop_
_space_group_symop_operation_xyz
'x,y,z'
loop_
_atom_site_label
_atom_site_type_symbol
_atom_site_fract_x
_atom_site_fract_y
_atom_site_fract_z
Cs1 Cs 0.0000 0.0000 0.0000
Mg1 Mg 0.1732 0.1732 0.5834
Mg2 Mg 0.8268 0.8268 0.4166
H1 H 0.0081 0.0081 0.3646
H2 H 0.2601 0.2601 0.8232
H3 H 0.3089 0.3089 0.4504
H4 H 0.6911 0.6911 0.5496
H5 H 0.7399 0.7399 0.1768
H6 H 0.9919 0.9919 0.6354
```